[1]
Material: AlAg3N
Method: DFT, GGA-PBEsol
State: relaxed

The structure in CIF format:
```
data_AlAg3N
_chemical_formula_sum 'Al1 Ag3 N1'
_symmetry_space_group_name_H-M 'P m -3 m'
_symmetry_Int_Tables_number 221
_symmetry_space_group_name_Hall '-P 4 2 3'
_cell_length_a 4.8130
_cell_length_b 4.8130
_cell_length_c 4.8130
_cell_angle_alpha 90.00
_cell_angle_beta 90.00
_cell_angle_gamma 90.00
loop_
_atom_site_label
_atom_site_type_symbol
_atom_site_fract_x
_atom_site_fract_y
_atom_site_fract_z
Al1 Al 0.0000 0.0000 0.0000
Ag1 Ag 0.0000 0.0000 0.5000
N1 N 0.5000 0.5000 0.5000
```

Summary:
The formation energy (no corrections) comes out at 1631.6 meV per atom.



[2]
Material: NbAl3Ag
Method: DFT, GGA-PBEsol
State: relaxed

The structure in CIF format:
```
data_NbAl3Ag
_chemical_formula_sum 'Nb1 Al3 Ag1'
_symmetry_space_group_name_H-M 'P m -3 m'
_symmetry_Int_Tables_number 221
_symmetry_space_group_name_Hall '-P 4 2 3'
_cell_length_a 4.9300
_cell_length_b 4.9300
_cell_length_c 4.9300
_cell_angle_alpha 90.00
_cell_angle_beta 90.00
_cell_angle_gamma 90.00
loop_
_atom_site_label
_atom_site_type_symbol
_atom_site_fract_x
_atom_site_fract_y
_atom_site_fract_z
Nb1 Nb 0.0000 0.0000 0.0000
Al1 Al 0.0000 0.0000 0.5000
Ag1 Ag 0.5000 0.5000 0.5000
```

Summary:
The formation enthalpy at 0 K comes out at 978 meV per atom.



[3]
Material: NbAl2Ag
Method: DFT, GGA-PBEsol
State: relaxed

The structure in CIF format:
```
data_NbAl2Ag
_chemical_formula_sum 'Nb4 Al8 Ag4'
_symmetry_space_group_name_H-M 'I -4 2 d'
_symmetry_Int_Tables_number 122
_symmetry_space_group_name_Hall 'I -4 2bw'
_cell_length_a 7.0338
_cell_length_b 7.0338
_cell_length_c 5.6779
_cell_angle_alpha 90.00
_cell_angle_beta 90.00
_cell_angle_gamma 90.00
loop_
_atom_site_label
_atom_site_type_symbol
_atom_site_fract_x
_atom_site_fract_y
_atom_site_fract_z
Nb1 Nb 0.0000 0.0000 0.0000
Al1 Al 0.2274 0.2500 0.6250
Ag1 Ag 0.0000 0.0000 0.5000
```

Summary:
The formation enthalpy at 0 K comes out at 242 meV per atom.



[4]
Material: NbAl2AgSb
Method: DFT, GGA-PBEsol
State: relaxed

The structure in CIF format:
```
data_NbAl2AgSb
_chemical_formula_sum 'Nb1 Al2 Ag1 Sb1'
_symmetry_space_group_name_H-M 'P 4/m m m'
_symmetry_Int_Tables_number 123
_symmetry_space_group_name_Hall '-P 4 2'
_cell_length_a 4.9855
_cell_length_b 4.9855
_cell_length_c 5.1843
_cell_angle_alpha 90.00
_cell_angle_beta 90.00
_cell_angle_gamma 90.00
loop_
_atom_site_label
_atom_site_type_symbol
_atom_site_fract_x
_atom_site_fract_y
_atom_site_fract_z
Nb1 Nb 0.0000 0.0000 0.0000
Al1 Al 0.0000 0.5000 0.0000
Ag1 Ag 0.5000 0.5000 0.5000
Sb1 Sb 0.0000 0.0000 0.5000
```

Summary:
The formation energy (no corrections) comes out at 752.6 meV per atom.



[5]
Material: ScNbAl2Ag
Method: DFT, GGA-PBEsol
State: relaxed

The structure in CIF format:
```
data_ScNbAl2Ag
_chemical_formula_sum 'Sc1 Nb1 Al2 Ag1'
_symmetry_space_group_name_H-M 'P 4/m m m'
_symmetry_Int_Tables_number 123
_symmetry_space_group_name_Hall '-P 4 2'
_cell_length_a 5.0037
_cell_length_b 5.0037
_cell_length_c 4.5468
_cell_angle_alpha 90.00
_cell_angle_beta 90.00
_cell_angle_gamma 90.00
loop_
_atom_site_label
_atom_site_type_symbol
_atom_site_fract_x
_atom_site_fract_y
_atom_site_fract_z
Sc1 Sc 0.0000 0.0000 0.0000
Nb1 Nb 0.0000 0.0000 0.5000
Al1 Al 0.0000 0.5000 0.0000
Ag1 Ag 0.5000 0.5000 0.5000
```

Summary:
The formation enthalpy at 0 K comes out at 1246 meV per atom.



[6]
Material: NdAlAg2
Method: DFT, GGA-PBEsol
State: relaxed

The structure in CIF format:
```
data_NdAlAg2
_chemical_formula_sum 'Nd4 Al4 Ag8'
_symmetry_space_group_name_H-M 'F m -3 m'
_symmetry_Int_Tables_number 225
_symmetry_space_group_name_Hall '-F 4 2 3'
_cell_length_a 6.8757
_cell_length_b 6.8757
_cell_length_c 6.8757
_cell_angle_alpha 90.00
_cell_angle_beta 90.00
_cell_angle_gamma 90.00
loop_
_atom_site_label
_atom_site_type_symbol
_atom_site_fract_x
_atom_site_fract_y
_atom_site_fract_z
Nd1 Nd 0.0000 0.0000 0.0000
Al1 Al 0.0000 0.0000 0.5000
Ag1 Ag 0.2500 0.2500 0.2500
```

Summary:
The formation enthalpy at 0 K comes out at -308 meV per atom.



[7]
Material: Al2NiAg
Method: DFT, GGA-PBEsol
State: relaxed

The structure in CIF format:
```
data_Al2NiAg
_chemical_formula_sum 'Al2 Ni1 Ag1'
_symmetry_space_group_name_H-M 'P 4 m m'
_symmetry_Int_Tables_number 99
_cell_length_a 3.2404
_cell_length_b 3.2404
_cell_length_c 5.3908
_cell_angle_alpha 90.00
_cell_angle_beta 90.00
_cell_angle_gamma 90.00
loop_
_symmetry_equiv_pos_as_xyz
'x,y,z'
'-y,x,z'
'-x,-y,z'
'y,-x,z'
'-x,y,z'
'y,x,z'
'x,-y,z'
'-y,-x,z'
loop_
_atom_site_label
_atom_site_type_symbol
_atom_site_fract_x
_atom_site_fract_y
_atom_site_fract_z
Al1 Al 0.0000 0.0000 0.0000
Al2 Al 0.5000 0.5000 0.2922
Ni1 Ni 0.0000 0.0000 0.4661
Ag1 Ag 0.5000 0.5000 0.7642
```

Summary:
The formation enthalpy at 0 K comes out at -248 meV per atom. Its relative energy among the computed polymorphs is 0.50 eV per formula unit.



[8]
Material: Al2NiAg
Method: DFT, GGA-PBEsol
State: relaxed

The structure in CIF format:
```
data_Al2NiAg
_chemical_formula_sum 'Al2 Ni1 Ag1'
_symmetry_space_group_name_H-M 'P 4 m m'
_symmetry_Int_Tables_number 99
_cell_length_a 2.8423
_cell_length_b 2.8423
_cell_length_c 7.0668
_cell_angle_alpha 90.00
_cell_angle_beta 90.00
_cell_angle_gamma 90.00
loop_
_symmetry_equiv_pos_as_xyz
'x,y,z'
'-y,x,z'
'-x,-y,z'
'y,-x,z'
'-x,y,z'
'y,x,z'
'x,-y,z'
'-y,-x,z'
loop_
_atom_site_label
_atom_site_type_symbol
_atom_site_fract_x
_atom_site_fract_y
_atom_site_fract_z
Al1 Al 0.0000 0.0000 0.0000
Al2 Al 0.5000 0.5000 0.2859
Ni1 Ni 0.0000 0.0000 0.4721
Ag1 Ag 0.5000 0.5000 0.7303
```

Summary:
The formation enthalpy at 0 K comes out at -150 meV per atom. Its relative energy among the computed polymorphs is 0.89 eV per formula unit.



[9]
Material: AlNiAg2
Method: DFT, GGA-PBEsol
State: relaxed

The structure in CIF format:
```
data_AlNiAg2
_chemical_formula_sum 'Al1 Ni1 Ag2'
_symmetry_space_group_name_H-M 'P 4/m m m'
_symmetry_Int_Tables_number 123
_symmetry_space_group_name_Hall '-P 4 2'
_cell_length_a 3.1717
_cell_length_b 3.1717
_cell_length_c 5.7450
_cell_angle_alpha 90.00
_cell_angle_beta 90.00
_cell_angle_gamma 90.00
loop_
_atom_site_label
_atom_site_type_symbol
_atom_site_fract_x
_atom_site_fract_y
_atom_site_fract_z
Al1 Al 0.0000 0.0000 0.0000
Ni1 Ni 0.0000 0.0000 0.5000
Ag1 Ag 0.5000 0.5000 0.2555
```

Summary:
The formation enthalpy at 0 K comes out at 39 meV per atom.



[10]
Material: Al2NiAg
Method: DFT, GGA-PBEsol
State: relaxed

The structure in CIF format:
```
data_Al2NiAg
_chemical_formula_sum 'Al2 Ni1 Ag1'
_symmetry_space_group_name_H-M 'P 4/m m m'
_symmetry_Int_Tables_number 123
_symmetry_space_group_name_Hall '-P 4 2'
_cell_length_a 2.8470
_cell_length_b 2.8470
_cell_length_c 6.8063
_cell_angle_alpha 90.00
_cell_angle_beta 90.00
_cell_angle_gamma 90.00
loop_
_atom_site_label
_atom_site_type_symbol
_atom_site_fract_x
_atom_site_fract_y
_atom_site_fract_z
Al1 Al 0.0000 0.0000 0.2113
Ni1 Ni 0.5000 0.5000 0.0000
Ag1 Ag 0.5000 0.5000 0.5000
```

Summary:
The formation enthalpy at 0 K comes out at -374 meV per atom. Its relative energy among the computed polymorphs is 0.00 eV per formula unit.



[11]
Material: AlNiAg2
Method: DFT, GGA-PBEsol
State: relaxed

The structure in CIF format:
```
data_AlNiAg2
_chemical_formula_sum 'Al2 Ni2 Ag4'
_symmetry_space_group_name_H-M 'I -4 m 2'
_symmetry_Int_Tables_number 119
_symmetry_space_group_name_Hall 'I -4 -2'
_cell_length_a 3.8909
_cell_length_b 3.8909
_cell_length_c 7.5762
_cell_angle_alpha 90.00
_cell_angle_beta 90.00
_cell_angle_gamma 90.00
loop_
_atom_site_label
_atom_site_type_symbol
_atom_site_fract_x
_atom_site_fract_y
_atom_site_fract_z
Al1 Al 0.0000 0.0000 0.0000
Ni1 Ni 0.0000 0.5000 0.2500
Ag1 Ag 0.0000 0.0000 0.5000
Ag2 Ag 0.0000 0.5000 0.7500
```

Summary:
The formation enthalpy at 0 K comes out at -91 meV per atom.



[12]
Material: Al2ReNiAg
Method: DFT, GGA-PBEsol
State: relaxed

The structure in CIF format:
```
data_Al2ReNiAg
_chemical_formula_sum 'Al2 Re1 Ni1 Ag1'
_symmetry_space_group_name_H-M 'P 4/m m m'
_symmetry_Int_Tables_number 123
_symmetry_space_group_name_Hall '-P 4 2'
_cell_length_a 4.7452
_cell_length_b 4.7452
_cell_length_c 4.4507
_cell_angle_alpha 90.00
_cell_angle_beta 90.00
_cell_angle_gamma 90.00
loop_
_atom_site_label
_atom_site_type_symbol
_atom_site_fract_x
_atom_site_fract_y
_atom_site_fract_z
Al1 Al 0.0000 0.5000 0.0000
Re1 Re 0.0000 0.0000 0.0000
Ni1 Ni 0.0000 0.0000 0.5000
Ag1 Ag 0.5000 0.5000 0.5000
```

Summary:
The formation enthalpy at 0 K comes out at 903 meV per atom.